Entry from Alexandria via LeMat-Bulk: an optimized crystal structure of Zr2OsW (PBE-GGA).

a = 4.551 Å, b = 2.948 Å, c = 5.453 Å
α = 80.45°, β = 90.00°, γ = 90.00°
Fractional coordinates of all 4 atoms:
1 Os 0.500 0.250 0.250
2 W 0.500 0.750 0.750
3 Zr 0.000 0.002 0.004
4 Zr 0.000 0.498 0.496

Results
For the volume, the calculation gives 18.036 A^3/atom. As for the density of states at the Fermi level: 1.057 states/eV per atom. For the calculated total energy, the calculation gives -10.30 eV per atom. As for the formation energy from the elements: 0.024 eV per atom.